Record 1
# Be2In2Pd, relaxed, DFT PBE-GGA
data_Be2In2Pd
_space_group_name_H-M_alt 'P 1'
_space_group_IT_number 1
_space_group_name_Hall 'P 1'
_cell_length_a 6.373
_cell_length_b 6.373
_cell_length_c 3.884
_cell_angle_alpha 90.00
_cell_angle_beta 90.00
_cell_angle_gamma 90.00
loop_
_atom_site_label
_atom_site_type_symbol
_atom_site_fract_x
_atom_site_fract_y
_atom_site_fract_z
Be1 Be 0.376 0.876 0.000
Be2 Be 0.876 0.624 0.000
Be3 Be 0.624 0.124 0.000
Be4 Be 0.124 0.376 0.000
Pd1 Pd 0.000 0.000 0.000
Pd2 Pd 0.500 0.500 0.000
In1 In 0.175 0.675 0.500
In2 In 0.675 0.825 0.500
In3 In 0.825 0.325 0.500
In4 In 0.325 0.175 0.500
# **V**: 15.78 Å³/atom
# **E_form**: 0.098 eV per atom
# **Energy above the lowest structure with this stoichiometry**: 0.000 eV/atom

---

Record 2
# Ho3Ag, relaxed, DFT PBE-GGA
data_Ho3Ag
_space_group_name_H-M_alt 'P 1'
_space_group_IT_number 1
_space_group_name_Hall 'P 1'
_cell_length_a 4.578
_cell_length_b 4.578
_cell_length_c 6.088
_cell_angle_alpha 112.09
_cell_angle_beta 112.09
_cell_angle_gamma 90.00
loop_
_atom_site_label
_atom_site_type_symbol
_atom_site_fract_x
_atom_site_fract_y
_atom_site_fract_z
Ho1 Ho 0.750 0.250 0.500
Ho2 Ho 0.250 0.750 0.500
Ho3 Ho 0.500 0.500 0.000
Ag1 Ag 0.000 0.000 0.000
# **V**: 27.02 Å³/atom
# **E_form**: 0.029 eV per atom
# **Energy above the lowest structure with this stoichiometry**: 0.144 eV/atom

---

Record 3
# TlAg2Pd, relaxed, DFT PBE-GGA
data_TlAg2Pd
_space_group_name_H-M_alt 'P 1'
_space_group_IT_number 1
_space_group_name_Hall 'P 1'
_cell_length_a 3.963
_cell_length_b 3.963
_cell_length_c 10.693
_cell_angle_alpha 79.32
_cell_angle_beta 79.32
_cell_angle_gamma 90.00
loop_
_atom_site_label
_atom_site_type_symbol
_atom_site_fract_x
_atom_site_fract_y
_atom_site_fract_z
Tl1 Tl 0.000 0.000 0.000
Tl2 Tl 0.750 0.250 0.500
Pd1 Pd 0.500 0.500 0.000
Pd2 Pd 0.250 0.750 0.500
Ag1 Ag 0.618 0.125 0.250
Ag2 Ag 0.132 0.625 0.250
Ag3 Ag 0.375 0.382 0.750
Ag4 Ag 0.875 0.868 0.750
# **V**: 20.26 Å³/atom
# **E_form**: 0.103 eV per atom
# **Energy above the lowest structure with this stoichiometry**: 0.127 eV/atom

---

Record 4
# Dy2TmAu, relaxed, DFT PBE-GGA
data_Dy2TmAu
_space_group_name_H-M_alt 'P 1'
_space_group_IT_number 1
_space_group_name_Hall 'P 1'
_cell_length_a 3.629
_cell_length_b 3.629
_cell_length_c 10.222
_cell_angle_alpha 79.77
_cell_angle_beta 79.77
_cell_angle_gamma 60.00
loop_
_atom_site_label
_atom_site_type_symbol
_atom_site_fract_x
_atom_site_fract_y
_atom_site_fract_z
Tm1 Tm 0.500 0.500 0.500
Au1 Au 0.000 0.000 0.000
Dy1 Dy 0.262 0.262 0.215
Dy2 Dy 0.738 0.738 0.785
# **V**: 28.53 Å³/atom
# **E_form**: -0.269 eV per atom
# **Energy above the lowest structure with this stoichiometry**: 0.183 eV/atom

---

Record 5
# La2MgAgIr, relaxed, DFT PBE-GGA
data_La2MgAgIr
_space_group_name_H-M_alt 'P 1'
_space_group_IT_number 1
_space_group_name_Hall 'P 1'
_cell_length_a 5.522
_cell_length_b 5.522
_cell_length_c 5.096
_cell_angle_alpha 90.00
_cell_angle_beta 90.00
_cell_angle_gamma 90.00
loop_
_atom_site_label
_atom_site_type_symbol
_atom_site_fract_x
_atom_site_fract_y
_atom_site_fract_z
Mg1 Mg 0.000 0.000 0.500
Ir1 Ir 0.000 0.000 0.000
Ag1 Ag 0.500 0.500 0.500
La1 La 0.000 0.500 0.000
La2 La 0.500 0.000 0.000
# **V**: 31.07 Å³/atom
# **E_form**: -0.338 eV per atom

---

Record 6
# La2MgCuO5, relaxed, DFT PBE-GGA
data_La2MgCuO5
_space_group_name_H-M_alt 'P 1'
_space_group_IT_number 1
_space_group_name_Hall 'P 1'
_cell_length_a 5.723
_cell_length_b 6.747
_cell_length_c 6.747
_cell_angle_alpha 90.00
_cell_angle_beta 90.00
_cell_angle_gamma 90.00
loop_
_atom_site_label
_atom_site_type_symbol
_atom_site_fract_x
_atom_site_fract_y
_atom_site_fract_z
La1 La 0.500 0.672 0.172
La2 La 0.500 0.172 0.328
La3 La 0.500 0.828 0.672
La4 La 0.500 0.328 0.828
Mg1 Mg 0.000 0.500 0.500
Mg2 Mg 0.000 0.000 0.000
Cu1 Cu 0.000 0.000 0.500
Cu2 Cu 0.000 0.500 0.000
O1 O 0.500 0.500 0.500
O2 O 0.500 0.000 0.000
O3 O 0.232 0.146 0.646
O4 O 0.232 0.854 0.354
O5 O 0.232 0.354 0.146
O6 O 0.232 0.646 0.854
O7 O 0.768 0.146 0.646
O8 O 0.768 0.646 0.854
O9 O 0.768 0.854 0.354
O10 O 0.768 0.354 0.146
# **V**: 14.47 Å³/atom
# **Formation energy (no corrections)**: -2.2006 eV/atom

---

Record 7
# LiSi2Se, relaxed, DFT PBE-GGA
data_LiSi2Se
_space_group_name_H-M_alt 'P 1'
_space_group_IT_number 1
_space_group_name_Hall 'P 1'
_cell_length_a 3.945
_cell_length_b 3.945
_cell_length_c 7.080
_cell_angle_alpha 85.76
_cell_angle_beta 85.76
_cell_angle_gamma 47.23
loop_
_atom_site_label
_atom_site_type_symbol
_atom_site_fract_x
_atom_site_fract_y
_atom_site_fract_z
Li1 Li 0.391 0.391 0.466
Se1 Se 0.117 0.117 0.280
Si1 Si 0.138 0.138 0.957
Si2 Si 0.855 0.855 0.797
# **V**: 20.15 Å³/atom
# **Formation energy (no corrections)**: -0.1814 eV/atom

---

Record 8
# HoUSe4, relaxed, DFT PBE-GGA
data_HoUSe4
_space_group_name_H-M_alt 'P 1'
_space_group_IT_number 1
_space_group_name_Hall 'P 1'
_cell_length_a 6.928
_cell_length_b 6.945
_cell_length_c 6.938
_cell_angle_alpha 90.00
_cell_angle_beta 87.42
_cell_angle_gamma 90.00
loop_
_atom_site_label
_atom_site_type_symbol
_atom_site_fract_x
_atom_site_fract_y
_atom_site_fract_z
Ho1 Ho 0.500 0.000 0.500
Ho2 Ho 0.000 0.500 0.500
U1 U 0.000 0.000 0.000
U2 U 0.500 0.500 0.000
Se1 Se 0.829 0.664 0.159
Se2 Se 0.671 0.164 0.841
Se3 Se 0.354 0.345 0.337
Se4 Se 0.146 0.845 0.663
Se5 Se 0.171 0.336 0.841
Se6 Se 0.329 0.836 0.159
Se7 Se 0.646 0.655 0.663
Se8 Se 0.854 0.155 0.337
# **V**: 27.79 Å³/atom
# **Formation energy (no corrections)**: -1.2158 eV/atom
# **Energy above the lowest structure with this stoichiometry**: 0.158 eV/atom

---

Record 9
# Pm4GeS2Cl, relaxed, DFT PBE-GGA
data_Pm4GeS2Cl
_space_group_name_H-M_alt 'P 1'
_space_group_IT_number 1
_space_group_name_Hall 'P 1'
_cell_length_a 4.104
_cell_length_b 7.125
_cell_length_c 7.169
_cell_angle_alpha 70.90
_cell_angle_beta 90.00
_cell_angle_gamma 90.00
loop_
_atom_site_label
_atom_site_type_symbol
_atom_site_fract_x
_atom_site_fract_y
_atom_site_fract_z
Pm1 Pm 0.000 0.772 0.728
Pm2 Pm 0.000 0.228 0.272
Pm3 Pm 0.500 0.761 0.259
Pm4 Pm 0.500 0.239 0.741
Ge1 Ge 0.000 0.500 0.500
S1 S 0.000 0.000 0.000
S2 S 0.500 0.000 0.500
Cl1 Cl 0.500 0.500 0.000
# **V**: 24.76 Å³/atom
# **Formation energy (no corrections)**: -1.6390 eV/atom

---

Record 10
# Al2TlSe, relaxed, DFT PBE-GGA
data_Al2TlSe
_space_group_name_H-M_alt 'P 1'
_space_group_IT_number 1
_space_group_name_Hall 'P 1'
_cell_length_a 6.230
_cell_length_b 6.230
_cell_length_c 7.356
_cell_angle_alpha 64.95
_cell_angle_beta 64.95
_cell_angle_gamma 90.00
loop_
_atom_site_label
_atom_site_type_symbol
_atom_site_fract_x
_atom_site_fract_y
_atom_site_fract_z
Tl1 Tl 0.000 0.000 0.000
Tl2 Tl 0.750 0.250 0.500
Al1 Al 0.606 0.125 0.250
Al2 Al 0.144 0.625 0.250
Al3 Al 0.375 0.394 0.750
Al4 Al 0.875 0.856 0.750
Se1 Se 0.500 0.500 0.000
Se2 Se 0.250 0.750 0.500
# **V**: 28.58 Å³/atom
# **Formation energy (no corrections)**: 0.0358 eV/atom
# **Energy above the lowest structure with this stoichiometry**: 0.157 eV/atom

---

Record 11
# Zn2MoPb, relaxed, DFT PBE-GGA
data_Zn2MoPb
_space_group_name_H-M_alt 'P 1'
_space_group_IT_number 1
_space_group_name_Hall 'P 1'
_cell_length_a 2.920
_cell_length_b 2.920
_cell_length_c 9.065
_cell_angle_alpha 90.00
_cell_angle_beta 90.00
_cell_angle_gamma 90.10
loop_
_atom_site_label
_atom_site_type_symbol
_atom_site_fract_x
_atom_site_fract_y
_atom_site_fract_z
Mo1 Mo 0.500 0.500 0.250
Pb1 Pb 0.500 0.500 0.750
Zn1 Zn 0.000 0.000 0.046
Zn2 Zn 0.000 0.000 0.454
# **V**: 19.32 Å³/atom
# **E_form**: 0.354 eV per atom

---

Record 12
# Sc2Fe5TcB2, relaxed, DFT PBE-GGA
data_Sc2Fe5TcB2
_space_group_name_H-M_alt 'P 1'
_space_group_IT_number 1
_space_group_name_Hall 'P 1'
_cell_length_a 2.897
_cell_length_b 8.871
_cell_length_c 8.871
_cell_angle_alpha 90.00
_cell_angle_beta 90.00
_cell_angle_gamma 90.00
loop_
_atom_site_label
_atom_site_type_symbol
_atom_site_fract_x
_atom_site_fract_y
_atom_site_fract_z
Sc1 Sc 0.000 0.175 0.675
Sc2 Sc 0.000 0.825 0.325
Sc3 Sc 0.000 0.675 0.825
Sc4 Sc 0.000 0.325 0.175
Fe1 Fe 0.500 0.781 0.069
Fe2 Fe 0.500 0.219 0.931
Fe3 Fe 0.500 0.069 0.219
Fe4 Fe 0.500 0.281 0.431
Fe5 Fe 0.500 0.931 0.781
Fe6 Fe 0.500 0.719 0.569
Fe7 Fe 0.500 0.569 0.281
Fe8 Fe 0.500 0.431 0.719
Fe9 Fe 0.500 0.500 0.000
Fe10 Fe 0.500 0.000 0.500
Tc1 Tc 0.000 0.000 0.000
Tc2 Tc 0.000 0.500 0.500
B1 B 0.000 0.381 0.881
B2 B 0.000 0.619 0.119
B3 B 0.000 0.881 0.619
B4 B 0.000 0.119 0.381
# **V**: 11.40 Å³/atom
# **E_form**: -0.307 eV per atom

---

Number 1: final energy -3.526 eV/atom. Number 2: final energy -4.117 eV/atom. Number 3: final energy -3.213 eV/atom. Number 4: final energy -4.508 eV/atom. Number 5: final energy -4.970 eV/atom. Number 6: final energy -6.682 eV/atom. Number 7: final energy -4.243 eV/atom. Number 8: final energy -6.183 eV/atom. Number 9: final energy -5.854 eV/atom. Number 10: final energy -3.298 eV/atom. Number 11: final energy -3.918 eV/atom. Number 12: final energy -8.177 eV/atom.